1.
{"formula": "TaCdAu2", "functional": "PBE", "state": "relaxed", "cell": [[4.286, 0.000, 0.000], [0.000, 4.286, 0.000], [0.000, 0.000, 7.994]], "species": ["Ta", "Ta", "Cd", "Cd", "Au", "Au", "Au", "Au"], "frac_coords": [[0.000, 0.000, 0.000], [0.500, 0.500, 0.500], [0.000, 0.500, 0.250], [0.500, 0.000, 0.750], [0.000, 0.000, 0.500], [0.000, 0.500, 0.750], [0.500, 0.000, 0.250], [0.500, 0.500, 0.000]], "spacegroup": "I-4m2, No. 119", "dos_ef_per_ev_atom": 0.710, "e_tot_ev_per_atom": -4.61}

2.
{"formula": "Na3DyPd2O6", "functional": "PBE", "state": "relaxed", "cell": [[2.768, -4.930, 0.000], [2.768, 4.930, 0.000], [-1.723, 0.000, 5.534]], "species": ["Na", "Na", "Na", "Dy", "Pd", "Pd", "O", "O", "O", "O", "O", "O"], "frac_coords": [[0.000, 0.000, 0.000], [0.325, 0.675, 0.000], [0.675, 0.325, 0.000], [0.500, 0.500, 0.500], [0.165, 0.835, 0.500], [0.835, 0.165, 0.500], [0.073, 0.412, 0.288], [0.233, 0.233, 0.727], [0.412, 0.073, 0.288], [0.588, 0.927, 0.712], [0.767, 0.767, 0.273], [0.927, 0.588, 0.712]], "spacegroup": "C2/m, No. 12", "raw_formation_energy_ev_per_atom": -1.46, "dos_ef_per_ev_atom": 0.209, "e_tot_ev_per_atom": -5.51}

3.
{"formula": "La6PmSmHo2", "functional": "PBE", "state": "relaxed", "cell": [[5.684, -3.612, 0.000], [5.684, 3.612, 0.000], [-2.051, 0.000, 8.732]], "species": ["La", "La", "La", "La", "La", "La", "Pm", "Sm", "Ho", "Ho"], "frac_coords": [[0.099, 0.542, 0.197], [0.139, 0.139, 0.438], [0.458, 0.901, 0.803], [0.542, 0.099, 0.197], [0.861, 0.861, 0.562], [0.901, 0.458, 0.803], [0.000, 0.000, 0.000], [0.500, 0.500, 0.500], [0.409, 0.409, 0.839], [0.591, 0.591, 0.161]], "spacegroup": "C2/m, No. 12", "dos_ef_per_ev_atom": 1.918, "e_tot_ev_per_atom": -4.63}

4.
{"formula": "LaAgPt", "functional": "PBE", "state": "relaxed", "cell": [[4.488, 0.000, 0.000], [0.000, 3.780, 0.000], [0.000, 0.000, 8.646]], "species": ["La", "La", "Ag", "Ag", "Pt", "Pt"], "frac_coords": [[0.250, 0.000, 0.207], [0.750, 0.000, 0.793], [0.250, 0.500, 0.588], [0.750, 0.500, 0.412], [0.250, 0.500, 0.903], [0.750, 0.500, 0.097]], "spacegroup": "Pmma, No. 51", "e_above_lowest_polymorph_ev_per_atom": 0.038, "dos_ef_per_ev_atom": 0.819, "e_tot_ev_per_atom": -5.34}

5.
{"formula": "EuLu2Os", "functional": "PBE", "state": "relaxed", "cell": [[4.969, 0.000, 0.000], [-2.484, 4.303, 0.000], [0.000, 0.000, 12.866]], "species": ["Eu", "Eu", "Eu", "Lu", "Lu", "Lu", "Lu", "Lu", "Lu", "Os", "Os", "Os"], "frac_coords": [[0.000, 0.000, 0.000], [0.333, 0.667, 0.667], [0.667, 0.333, 0.333], [0.000, 0.000, 0.244], [0.000, 0.000, 0.756], [0.333, 0.667, 0.423], [0.333, 0.667, 0.911], [0.667, 0.333, 0.089], [0.667, 0.333, 0.577], [0.000, 0.000, 0.500], [0.333, 0.667, 0.167], [0.667, 0.333, 0.833]], "spacegroup": "R-3m, No. 166", "e_above_lowest_polymorph_ev_per_atom": 0.290, "dos_ef_per_ev_atom": 0.997, "e_tot_ev_per_atom": -7.56}

6.
{"formula": "AcZrAg2", "functional": "PBE", "state": "relaxed", "cell": [[3.643, 0.000, 0.000], [0.000, 3.643, 0.000], [0.000, 0.000, 7.609]], "species": ["Ac", "Zr", "Ag", "Ag"], "frac_coords": [[0.000, 0.000, 0.000], [0.000, 0.000, 0.500], [0.500, 0.500, 0.299], [0.500, 0.500, 0.701]], "spacegroup": "P4/mmm, No. 123", "dos_ef_per_ev_atom": 0.896, "e_tot_ev_per_atom": -4.62}

7.
{"formula": "V4SiRh", "functional": "PBE", "state": "relaxed", "cell": [[-2.368, 3.081, 5.739], [2.368, -3.081, 5.739], [2.368, 3.081, -5.739]], "species": ["V", "V", "V", "V", "V", "V", "V", "V", "Si", "Si", "Rh", "Rh"], "frac_coords": [[0.153, 0.376, 0.777], [0.187, 0.187, 0.000], [0.320, 0.000, 0.320], [0.400, 0.624, 0.777], [0.600, 0.376, 0.223], [0.680, 0.000, 0.680], [0.813, 0.813, 0.000], [0.847, 0.624, 0.223], [0.000, 0.260, 0.260], [0.000, 0.740, 0.740], [0.296, 0.796, 0.500], [0.704, 0.204, 0.500]], "spacegroup": "Immm, No. 71", "raw_formation_energy_ev_per_atom": -0.09, "dos_ef_per_ev_atom": 0.902, "e_tot_ev_per_atom": -8.29}

8.
{"formula": "Sc6Co5", "functional": "PBE", "state": "relaxed", "cell": [[-2.206, 3.070, 6.641], [2.206, -3.070, 6.641], [2.206, 3.070, -6.641]], "species": ["Sc", "Sc", "Sc", "Sc", "Sc", "Sc", "Co", "Co", "Co", "Co", "Co"], "frac_coords": [[0.082, 0.335, 0.747], [0.247, 0.000, 0.247], [0.412, 0.665, 0.747], [0.588, 0.335, 0.253], [0.753, 0.000, 0.753], [0.918, 0.665, 0.253], [0.173, 0.173, 0.000], [0.336, 0.836, 0.500], [0.500, 0.500, 0.000], [0.664, 0.164, 0.500], [0.827, 0.827, 0.000]], "spacegroup": "Immm, No. 71", "dos_ef_per_ev_atom": 0.551, "e_tot_ev_per_atom": -6.99}

9.
{"formula": "LaAuS2Cl", "functional": "PBE", "state": "relaxed", "cell": [[4.941, 0.000, 0.000], [0.000, 4.941, 0.000], [0.000, 0.000, 4.870]], "species": ["La", "Au", "S", "S", "Cl"], "frac_coords": [[0.000, 0.000, 0.000], [0.500, 0.500, 0.500], [0.000, 0.500, 0.500], [0.500, 0.000, 0.500], [0.500, 0.500, 0.000]], "spacegroup": "P4/mmm, No. 123", "raw_formation_energy_ev_per_atom": -0.76, "e_above_lowest_polymorph_ev_per_atom": 0.000, "dos_ef_per_ev_atom": 0.785, "e_tot_ev_per_atom": -4.42}

10.
{"formula": "BaTc2Ir", "functional": "PBE", "state": "relaxed", "cell": [[6.104, 0.000, 0.000], [0.000, 8.535, 0.000], [0.000, 0.000, 2.841]], "species": ["Ba", "Ba", "Tc", "Tc", "Tc", "Tc", "Ir", "Ir"], "frac_coords": [[0.000, 0.000, 0.000], [0.500, 0.500, 0.000], [0.250, 0.250, 0.500], [0.250, 0.750, 0.500], [0.750, 0.250, 0.500], [0.750, 0.750, 0.500], [0.000, 0.500, 0.000], [0.500, 0.000, 0.000]], "spacegroup": "Cmmm, No. 65", "e_above_lowest_polymorph_ev_per_atom": 0.924, "dos_ef_per_ev_atom": 1.672, "e_tot_ev_per_atom": -6.64}

11.
{"formula": "Pr5Rh3", "functional": "PBE", "state": "relaxed", "cell": [[11.354, 0.000, 0.000], [0.000, 11.354, 0.000], [0.000, 0.000, 6.599]], "species": ["Pr", "Pr", "Pr", "Pr", "Pr", "Pr", "Pr", "Pr", "Pr", "Pr", "Pr", "Pr", "Pr", "Pr", "Pr", "Pr", "Pr", "Pr", "Pr", "Pr", "Rh", "Rh", "Rh", "Rh", "Rh", "Rh", "Rh", "Rh", "Rh", "Rh", "Rh", "Rh"], "frac_coords": [[0.042, 0.159, 0.116], [0.042, 0.341, 0.616], [0.159, 0.042, 0.616], [0.159, 0.458, 0.116], [0.250, 0.750, 0.000], [0.250, 0.750, 0.500], [0.341, 0.042, 0.116], [0.341, 0.458, 0.616], [0.458, 0.159, 0.616], [0.458, 0.341, 0.116], [0.542, 0.659, 0.884], [0.542, 0.841, 0.384], [0.659, 0.542, 0.384], [0.659, 0.958, 0.884], [0.750, 0.250, 0.000], [0.750, 0.250, 0.500], [0.841, 0.542, 0.884], [0.841, 0.958, 0.384], [0.958, 0.659, 0.384], [0.958, 0.841, 0.884], [0.095, 0.595, 0.750], [0.095, 0.905, 0.250], [0.250, 0.250, 0.377], [0.250, 0.250, 0.877], [0.405, 0.595, 0.250], [0.405, 0.905, 0.750], [0.595, 0.095, 0.250], [0.595, 0.405, 0.750], [0.750, 0.750, 0.123], [0.750, 0.750, 0.623], [0.905, 0.095, 0.750], [0.905, 0.405, 0.250]], "spacegroup": "P4/ncc, No. 130", "dos_ef_per_ev_atom": 0.729, "e_tot_ev_per_atom": -6.31}

12.
{"formula": "K3AcF6", "functional": "PBE", "state": "relaxed", "cell": [[6.643, 0.000, 0.000], [0.000, 6.809, 0.000], [-6.270, 0.000, 9.502]], "species": ["K", "K", "K", "K", "K", "K", "Ac", "Ac", "F", "F", "F", "F", "F", "F", "F", "F", "F", "F", "F", "F"], "frac_coords": [[0.000, 0.000, 0.000], [0.000, 0.500, 0.500], [0.216, 0.049, 0.734], [0.216, 0.451, 0.234], [0.784, 0.549, 0.766], [0.784, 0.951, 0.266], [0.500, 0.000, 0.500], [0.500, 0.500, 0.000], [0.148, 0.179, 0.449], [0.148, 0.321, 0.949], [0.228, 0.721, 0.409], [0.228, 0.779, 0.909], [0.403, 0.085, 0.267], [0.403, 0.415, 0.767], [0.597, 0.585, 0.233], [0.597, 0.915, 0.733], [0.772, 0.221, 0.091], [0.772, 0.279, 0.591], [0.852, 0.679, 0.051], [0.852, 0.821, 0.551]], "spacegroup": "P2_1/c, No. 14", "raw_formation_energy_ev_per_atom": -3.31, "dos_ef_per_ev_atom": 0.000, "e_tot_ev_per_atom": -5.17}